(1)
VASP calculation (PBE) on an optimized crystal structure of ZnOs2Br.

Computed properties:
Symmetry: P4mm, No. 99

The structure in POSCAR format:
```
ZnOs2Br
1.0
2.933 0.000 0.000
0.000 2.933 0.000
0.000 0.000 8.108
Zn Os Br
1 2 1
direct
0.000 0.000 0.000
0.000 0.000 0.591
0.500 0.500 0.789
0.500 0.500 0.349
```


(2)
VASP calculation (PBE) on an optimized crystal structure of Zn2OsBr.

Computed properties:
Symmetry: I-4m2, No. 119

The structure in POSCAR format:
```
Zn2OsBr
1.0
-1.997 1.997 4.114
1.997 -1.997 4.114
1.997 1.997 -4.114
Zn Os Br
2 1 1
direct
0.000 0.000 0.000
0.750 0.250 0.500
0.500 0.500 0.000
0.250 0.750 0.500
```


(3)
VASP calculation (PBE) on an optimized crystal structure of Zn2OsBr.

Computed properties:
Symmetry: P4mm, No. 99

The structure in POSCAR format:
```
Zn2OsBr
1.0
2.994 0.000 0.000
0.000 2.994 0.000
0.000 0.000 7.973
Zn Os Br
2 1 1
direct
0.000 0.000 0.000
0.500 0.500 0.221
0.500 0.500 0.799
0.000 0.000 0.578
```


(4)
VASP calculation (PBE) on an optimized crystal structure of ZnOs2Br.

Computed properties:
Symmetry: C2/m, No. 12

The structure in POSCAR format:
```
ZnOs2Br
1.0
4.441 -1.450 0.000
4.441 1.450 0.000
-1.089 0.000 4.892
Zn Os Br
1 2 1
direct
0.000 0.000 0.000
0.256 0.256 0.780
0.744 0.744 0.220
0.500 0.500 0.500
```


(5)
VASP calculation (PBE) on an optimized crystal structure of ZnOs2Br.

Computed properties:
Symmetry: R-3m, No. 166

The structure in POSCAR format:
```
ZnOs2Br
1.0
1.434 0.828 8.672
-1.434 0.828 8.672
0.000 -1.656 8.672
Zn Os Br
1 2 1
direct
0.000 0.000 0.000
0.252 0.252 0.252
0.748 0.748 0.748
0.500 0.500 0.500
```


(6)
VASP calculation (PBE) on an optimized crystal structure of Zn2OsBr.

Computed properties:
Symmetry: Cmmm, No. 65

The structure in POSCAR format:
```
Zn2OsBr
1.0
2.846 -3.842 0.000
2.846 3.842 0.000
0.000 0.000 2.979
Zn Os Br
2 1 1
direct
0.000 0.500 0.000
0.500 0.000 0.000
0.000 0.000 0.500
0.500 0.500 0.500
```


| no. | total magnetic moment (Bohr magnetons per cell) | E above lowest polymorph (meV/atom) | formation energy from raw total energies (eV per formula unit) |
| --- | --- | --- | --- |
| 1 | 0.00 | 115.4 | 1.99 |
| 2 | 0.00 | 556.0 | 3.38 |
| 3 | 0.00 | 393.7 | 2.73 |
| 4 | 0.00 | 552.7 | 3.74 |
| 5 | 0.00 | 527.1 | 3.63 |
| 6 | 0.15 | 247.6 | 2.14 |